(a)
VASP calculation (PBE) on a relaxed structure of HfBS.

```
data_HfBS
_space_group_name_H-M_alt 'C 1 2/m 1'
_space_group_IT_number 12
_space_group_name_Hall '-C 2y'
_cell_length_a 8.814
_cell_length_b 3.678
_cell_length_c 7.362
_cell_angle_alpha 90.00
_cell_angle_beta 115.35
_cell_angle_gamma 90.00
loop_
_atom_site_label
_atom_site_fract_x
_atom_site_fract_y
_atom_site_fract_z
_atom_site_occupancy
Hf1 0.083 0.000 0.327 1
B1 0.041 0.500 0.120 1
S1 0.217 0.000 0.706 1
```

## Properties
M_tot ... 0.0 μB/f.u.

=====

(b)
VASP calculation (PBE) on a relaxed structure of HfBS.

```
data_HfBS
_space_group_name_H-M_alt 'C 1 2/m 1'
_space_group_IT_number 12
_space_group_name_Hall '-C 2y'
_cell_length_a 5.767
_cell_length_b 3.335
_cell_length_c 10.615
_cell_angle_alpha 90.00
_cell_angle_beta 100.66
_cell_angle_gamma 90.00
loop_
_atom_site_label
_atom_site_fract_x
_atom_site_fract_y
_atom_site_fract_z
_atom_site_occupancy
Hf1 0.057 0.000 0.167 1
B1 0.164 0.500 0.992 1
S1 0.224 0.000 0.682 1
```

## Properties
M_tot ... 0.0 μB/f.u.

=====

Which structure is the most stable? The one labeled (b).

=====

(a)
VASP calculation (PBE) on a relaxed structure of HfBSb3.

```
data_HfBSb3
_space_group_name_H-M_alt 'P m -3 m'
_space_group_IT_number 221
_space_group_name_Hall '-P 4 2 3'
_cell_length_a 5.488
_cell_length_b 5.488
_cell_length_c 5.488
_cell_angle_alpha 90.00
_cell_angle_beta 90.00
_cell_angle_gamma 90.00
loop_
_atom_site_label
_atom_site_fract_x
_atom_site_fract_y
_atom_site_fract_z
_atom_site_occupancy
Hf1 0.000 0.000 0.000 1
B1 0.500 0.500 0.500 1
Sb1 0.000 0.000 0.500 1
```

## Properties
M_tot ... 0.0 μB/f.u.

=====

(b)
VASP calculation (PBE) on a relaxed structure of HfBSb3.

```
data_HfBSb3
_space_group_name_H-M_alt 'P m -3 m'
_space_group_IT_number 221
_space_group_name_Hall '-P 4 2 3'
_cell_length_a 4.801
_cell_length_b 4.801
_cell_length_c 4.801
_cell_angle_alpha 90.00
_cell_angle_beta 90.00
_cell_angle_gamma 90.00
loop_
_atom_site_label
_atom_site_fract_x
_atom_site_fract_y
_atom_site_fract_z
_atom_site_occupancy
Hf1 0.000 0.000 0.000 1
B1 0.500 0.500 0.500 1
Sb1 0.000 0.500 0.500 1
```

## Properties
M_tot ... 0.0 μB/f.u.

=====

Which structure is the most stable? The one labeled (b).

=====

(a)
VASP calculation (PBE) on a relaxed structure of HfScB2.

```
data_HfScB2
_space_group_name_H-M_alt 'F m -3 m'
_space_group_IT_number 225
_space_group_name_Hall '-F 4 2 3'
_cell_length_a 5.961
_cell_length_b 5.961
_cell_length_c 5.961
_cell_angle_alpha 90.00
_cell_angle_beta 90.00
_cell_angle_gamma 90.00
loop_
_atom_site_label
_atom_site_fract_x
_atom_site_fract_y
_atom_site_fract_z
_atom_site_occupancy
Hf1 0.000 0.000 0.000 1
Sc1 0.000 0.000 0.500 1
B1 0.250 0.250 0.250 1
```

## Properties
M_tot ... 0.0 μB/f.u.

=====

(b)
VASP calculation (PBE) on a relaxed structure of HfScB2.

```
data_HfScB2
_space_group_name_H-M_alt 'I -4 2 d'
_space_group_IT_number 122
_space_group_name_Hall 'I -4 2bw'
_cell_length_a 6.261
_cell_length_b 6.261
_cell_length_c 6.128
_cell_angle_alpha 90.00
_cell_angle_beta 90.00
_cell_angle_gamma 90.00
loop_
_atom_site_label
_atom_site_fract_x
_atom_site_fract_y
_atom_site_fract_z
_atom_site_occupancy
Hf1 0.000 0.000 0.000 1
Sc1 0.000 0.000 0.500 1
B1 0.248 0.250 0.125 1
```

## Properties
M_tot ... 0.0 μB/f.u.

=====

Which structure is the most stable? The one labeled (a).

=====

(a)
VASP calculation (PBE) on a relaxed structure of HfSc3B.

```
data_HfSc3B
_space_group_name_H-M_alt 'P m -3 m'
_space_group_IT_number 221
_space_group_name_Hall '-P 4 2 3'
_cell_length_a 4.723
_cell_length_b 4.723
_cell_length_c 4.723
_cell_angle_alpha 90.00
_cell_angle_beta 90.00
_cell_angle_gamma 90.00
loop_
_atom_site_label
_atom_site_fract_x
_atom_site_fract_y
_atom_site_fract_z
_atom_site_occupancy
Hf1 0.000 0.000 0.000 1
Sc1 0.000 0.500 0.500 1
B1 0.500 0.500 0.500 1
```

## Properties
M_tot ... 1.8 μB/f.u.

=====

(b)
VASP calculation (PBE) on a relaxed structure of HfSc3B.

```
data_HfSc3B
_space_group_name_H-M_alt 'P m -3 m'
_space_group_IT_number 221
_space_group_name_Hall '-P 4 2 3'
_cell_length_a 5.111
_cell_length_b 5.111
_cell_length_c 5.111
_cell_angle_alpha 90.00
_cell_angle_beta 90.00
_cell_angle_gamma 90.00
loop_
_atom_site_label
_atom_site_fract_x
_atom_site_fract_y
_atom_site_fract_z
_atom_site_occupancy
Hf1 0.000 0.000 0.000 1
Sc1 0.000 0.000 0.500 1
B1 0.500 0.500 0.500 1
```

## Properties
M_tot ... 0.0 μB/f.u.

=====

Which structure is the most stable? The one labeled (a).

=====

(a)
VASP calculation (PBE) on a relaxed structure of Hf3ScB.

```
data_Hf3ScB
_space_group_name_H-M_alt 'P m -3 m'
_space_group_IT_number 221
_space_group_name_Hall '-P 4 2 3'
_cell_length_a 4.897
_cell_length_b 4.897
_cell_length_c 4.897
_cell_angle_alpha 90.00
_cell_angle_beta 90.00
_cell_angle_gamma 90.00
loop_
_atom_site_label
_atom_site_fract_x
_atom_site_fract_y
_atom_site_fract_z
_atom_site_occupancy
Hf1 0.000 0.000 0.500 1
Sc1 0.000 0.000 0.000 1
B1 0.500 0.500 0.500 1
```

## Properties
M_tot ... 0.0 μB/f.u.

=====

(b)
VASP calculation (PBE) on a relaxed structure of Hf3ScB.

```
data_Hf3ScB
_space_group_name_H-M_alt 'P m -3 m'
_space_group_IT_number 221
_space_group_name_Hall '-P 4 2 3'
_cell_length_a 4.680
_cell_length_b 4.680
_cell_length_c 4.680
_cell_angle_alpha 90.00
_cell_angle_beta 90.00
_cell_angle_gamma 90.00
loop_
_atom_site_label
_atom_site_fract_x
_atom_site_fract_y
_atom_site_fract_z
_atom_site_occupancy
Hf1 0.000 0.000 0.500 1
Sc1 0.500 0.500 0.500 1
B1 0.000 0.000 0.000 1
```

## Properties
M_tot ... 0.0 μB/f.u.

=====

Which structure is the most stable? The one labeled (b).

=====

(a)
VASP calculation (PBE) on a relaxed structure of Hf2ScSnB.

```
data_Hf2ScSnB
_space_group_name_H-M_alt 'P 4/m m m'
_space_group_IT_number 123
_space_group_name_Hall '-P 4 2'
_cell_length_a 5.028
_cell_length_b 5.028
_cell_length_c 4.402
_cell_angle_alpha 90.00
_cell_angle_beta 90.00
_cell_angle_gamma 90.00
loop_
_atom_site_label
_atom_site_fract_x
_atom_site_fract_y
_atom_site_fract_z
_atom_site_occupancy
Hf1 0.000 0.500 0.000 1
Sc1 0.000 0.000 0.000 1
Sn1 0.500 0.500 0.500 1
B1 0.000 0.000 0.500 1
```

## Properties
M_tot ... 0.0 μB/f.u.

=====

(b)
VASP calculation (PBE) on a relaxed structure of Hf2ScSnB.

```
data_Hf2ScSnB
_space_group_name_H-M_alt 'P 4/m m m'
_space_group_IT_number 123
_space_group_name_Hall '-P 4 2'
_cell_length_a 4.602
_cell_length_b 4.602
_cell_length_c 4.603
_cell_angle_alpha 90.00
_cell_angle_beta 90.00
_cell_angle_gamma 90.00
loop_
_atom_site_label
_atom_site_fract_x
_atom_site_fract_y
_atom_site_fract_z
_atom_site_occupancy
Hf1 0.000 0.500 0.000 1
Sc1 0.000 0.000 0.500 1
Sn1 0.500 0.500 0.500 1
B1 0.000 0.000 0.000 1
```

## Properties
M_tot ... 0.0 μB/f.u.

=====

Which structure is the most stable? The one labeled (b).

=====

(a)
VASP calculation (PBE) on a relaxed structure of Hf2BSe.

```
data_Hf2BSe
_space_group_name_H-M_alt 'R -3 m'
_space_group_IT_number 166
_space_group_name_Hall '-R 3 2"'
_cell_length_a 3.5451
_cell_length_b 3.5451
_cell_length_c 18.8967
_cell_angle_alpha 90.00
_cell_angle_beta 90.00
_cell_angle_gamma 120.00
loop_
_atom_site_label
_atom_site_fract_x
_atom_site_fract_y
_atom_site_fract_z
_atom_site_occupancy
Hf1 0.0000 0.0000 0.2319 1
B1 0.0000 0.0000 0.5000 1
Se1 0.0000 0.0000 0.0000 1
```

## Properties
M_tot ... 0.0 μB/f.u.

=====

(b)
VASP calculation (PBE) on a relaxed structure of Hf2BSe.

```
data_Hf2BSe
_space_group_name_H-M_alt 'I -4 2 d'
_space_group_IT_number 122
_space_group_name_Hall 'I -4 2bw'
_cell_length_a 5.638
_cell_length_b 5.638
_cell_length_c 11.031
_cell_angle_alpha 90.00
_cell_angle_beta 90.00
_cell_angle_gamma 90.00
loop_
_atom_site_label
_atom_site_fract_x
_atom_site_fract_y
_atom_site_fract_z
_atom_site_occupancy
Hf1 0.185 0.250 0.125 1
B1 0.000 0.000 0.000 1
Se1 0.000 0.000 0.500 1
```

## Properties
M_tot ... 0.0 μB/f.u.

=====

(c)
VASP calculation (PBE) on a relaxed structure of Hf2BSe.

```
data_Hf2BSe
_space_group_name_H-M_alt 'F m -3 m'
_space_group_IT_number 225
_space_group_name_Hall '-F 4 2 3'
_cell_length_a 6.382
_cell_length_b 6.382
_cell_length_c 6.382
_cell_angle_alpha 90.00
_cell_angle_beta 90.00
_cell_angle_gamma 90.00
loop_
_atom_site_label
_atom_site_fract_x
_atom_site_fract_y
_atom_site_fract_z
_atom_site_occupancy
Hf1 0.250 0.250 0.250 1
B1 0.000 0.000 0.000 1
Se1 0.000 0.000 0.500 1
```

## Properties
M_tot ... 0.0 μB/f.u.

=====

Which structure is the most stable? The one labeled (a).

=====

(a)
VASP calculation (PBE) on a relaxed structure of HfBSe3.

```
data_HfBSe3
_space_group_name_H-M_alt 'P m -3 m'
_space_group_IT_number 221
_space_group_name_Hall '-P 4 2 3'
_cell_length_a 4.466
_cell_length_b 4.466
_cell_length_c 4.466
_cell_angle_alpha 90.00
_cell_angle_beta 90.00
_cell_angle_gamma 90.00
loop_
_atom_site_label
_atom_site_fract_x
_atom_site_fract_y
_atom_site_fract_z
_atom_site_occupancy
Hf1 0.000 0.000 0.000 1
B1 0.500 0.500 0.500 1
Se1 0.000 0.500 0.500 1
```

## Properties
M_tot ... 0.0 μB/f.u.

=====

(b)
VASP calculation (PBE) on a relaxed structure of HfBSe3.

```
data_HfBSe3
_space_group_name_H-M_alt 'P m -3 m'
_space_group_IT_number 221
_space_group_name_Hall '-P 4 2 3'
_cell_length_a 5.165
_cell_length_b 5.165
_cell_length_c 5.165
_cell_angle_alpha 90.00
_cell_angle_beta 90.00
_cell_angle_gamma 90.00
loop_
_atom_site_label
_atom_site_fract_x
_atom_site_fract_y
_atom_site_fract_z
_atom_site_occupancy
Hf1 0.000 0.000 0.000 1
B1 0.500 0.500 0.500 1
Se1 0.000 0.000 0.500 1
```

## Properties
M_tot ... 0.0 μB/f.u.

=====

Which structure is the most stable? The one labeled (a).

=====

(a)
VASP calculation (PBE) on a relaxed structure of YHf2BSe.

```
data_YHf2BSe
_space_group_name_H-M_alt 'P 4/m m m'
_space_group_IT_number 123
_space_group_name_Hall '-P 4 2'
_cell_length_a 4.524
_cell_length_b 4.524
_cell_length_c 5.145
_cell_angle_alpha 90.00
_cell_angle_beta 90.00
_cell_angle_gamma 90.00
loop_
_atom_site_label
_atom_site_fract_x
_atom_site_fract_y
_atom_site_fract_z
_atom_site_occupancy
Y1 0.000 0.000 0.000 1
Hf1 0.000 0.500 0.500 1
B1 0.000 0.000 0.500 1
Se1 0.500 0.500 0.000 1
```

## Properties
M_tot ... 1.3 μB/f.u.

=====

(b)
VASP calculation (PBE) on a relaxed structure of YHf2BSe.

```
data_YHf2BSe
_space_group_name_H-M_alt 'P 4/m m m'
_space_group_IT_number 123
_space_group_name_Hall '-P 4 2'
_cell_length_a 5.333
_cell_length_b 5.333
_cell_length_c 5.110
_cell_angle_alpha 90.00
_cell_angle_beta 90.00
_cell_angle_gamma 90.00
loop_
_atom_site_label
_atom_site_fract_x
_atom_site_fract_y
_atom_site_fract_z
_atom_site_occupancy
Y1 0.000 0.000 0.000 1
Hf1 0.000 0.500 0.000 1
B1 0.500 0.500 0.500 1
Se1 0.000 0.000 0.500 1
```

## Properties
M_tot ... 0.0 μB/f.u.

=====

Which structure is the most stable? The one labeled (a).

=====

(a)
VASP calculation (PBE) on a relaxed structure of HfSnB3.

```
data_HfSnB3
_space_group_name_H-M_alt 'P m -3 m'
_space_group_IT_number 221
_space_group_name_Hall '-P 4 2 3'
_cell_length_a 4.337
_cell_length_b 4.337
_cell_length_c 4.337
_cell_angle_alpha 90.00
_cell_angle_beta 90.00
_cell_angle_gamma 90.00
loop_
_atom_site_label
_atom_site_fract_x
_atom_site_fract_y
_atom_site_fract_z
_atom_site_occupancy
Hf1 0.000 0.000 0.000 1
Sn1 0.500 0.500 0.500 1
B1 0.000 0.500 0.500 1
```

## Properties
M_tot ... 0.0 μB/f.u.

=====

(b)
VASP calculation (PBE) on a relaxed structure of HfSnB3.

```
data_HfSnB3
_space_group_name_H-M_alt 'P m -3 m'
_space_group_IT_number 221
_space_group_name_Hall '-P 4 2 3'
_cell_length_a 4.505
_cell_length_b 4.505
_cell_length_c 4.505
_cell_angle_alpha 90.00
_cell_angle_beta 90.00
_cell_angle_gamma 90.00
loop_
_atom_site_label
_atom_site_fract_x
_atom_site_fract_y
_atom_site_fract_z
_atom_site_occupancy
Hf1 0.000 0.000 0.000 1
Sn1 0.500 0.500 0.500 1
B1 0.000 0.000 0.500 1
```

## Properties
M_tot ... 0.0 μB/f.u.

=====

Which structure is the most stable? The one labeled (b).

=====

(a)
VASP calculation (PBE) on a relaxed structure of SrHfB3.

```
data_SrHfB3
_space_group_name_H-M_alt 'P m -3 m'
_space_group_IT_number 221
_space_group_name_Hall '-P 4 2 3'
_cell_length_a 4.360
_cell_length_b 4.360
_cell_length_c 4.360
_cell_angle_alpha 90.00
_cell_angle_beta 90.00
_cell_angle_gamma 90.00
loop_
_atom_site_label
_atom_site_fract_x
_atom_site_fract_y
_atom_site_fract_z
_atom_site_occupancy
Sr1 0.000 0.000 0.000 1
Hf1 0.500 0.500 0.500 1
B1 0.000 0.000 0.500 1
```

## Properties
M_tot ... 0.0 μB/f.u.

=====

(b)
VASP calculation (PBE) on a relaxed structure of SrHfB3.

```
data_SrHfB3
_space_group_name_H-M_alt 'P m -3 m'
_space_group_IT_number 221
_space_group_name_Hall '-P 4 2 3'
_cell_length_a 4.539
_cell_length_b 4.539
_cell_length_c 4.539
_cell_angle_alpha 90.00
_cell_angle_beta 90.00
_cell_angle_gamma 90.00
loop_
_atom_site_label
_atom_site_fract_x
_atom_site_fract_y
_atom_site_fract_z
_atom_site_occupancy
Sr1 0.000 0.000 0.000 1
Hf1 0.500 0.500 0.500 1
B1 0.000 0.500 0.500 1
```

## Properties
M_tot ... 0.0 μB/f.u.

=====

Which structure is the most stable? The one labeled (b).

=====

(a)
VASP calculation (PBE) on a relaxed structure of SrHf3B.

```
data_SrHf3B
_space_group_name_H-M_alt 'P m -3 m'
_space_group_IT_number 221
_space_group_name_Hall '-P 4 2 3'
_cell_length_a 4.835
_cell_length_b 4.835
_cell_length_c 4.835
_cell_angle_alpha 90.00
_cell_angle_beta 90.00
_cell_angle_gamma 90.00
loop_
_atom_site_label
_atom_site_fract_x
_atom_site_fract_y
_atom_site_fract_z
_atom_site_occupancy
Sr1 0.000 0.000 0.000 1
Hf1 0.000 0.500 0.500 1
B1 0.500 0.500 0.500 1
```

## Properties
M_tot ... 1.3 μB/f.u.

=====

(b)
VASP calculation (PBE) on a relaxed structure of SrHf3B.

```
data_SrHf3B
_space_group_name_H-M_alt 'P m -3 m'
_space_group_IT_number 221
_space_group_name_Hall '-P 4 2 3'
_cell_length_a 5.068
_cell_length_b 5.068
_cell_length_c 5.068
_cell_angle_alpha 90.00
_cell_angle_beta 90.00
_cell_angle_gamma 90.00
loop_
_atom_site_label
_atom_site_fract_x
_atom_site_fract_y
_atom_site_fract_z
_atom_site_occupancy
Sr1 0.000 0.000 0.000 1
Hf1 0.000 0.000 0.500 1
B1 0.500 0.500 0.500 1
```

## Properties
M_tot ... 0.0 μB/f.u.

=====

Which structure is the most stable? The one labeled (a).

=====

(a)
VASP calculation (PBE) on a relaxed structure of Hf2TaB2.

```
data_Hf2TaB2
_space_group_name_H-M_alt 'I 4/m m m'
_space_group_IT_number 139
_space_group_name_Hall '-I 4 2'
_cell_length_a 3.712
_cell_length_b 3.712
_cell_length_c 10.372
_cell_angle_alpha 90.00
_cell_angle_beta 90.00
_cell_angle_gamma 90.00
loop_
_atom_site_label
_atom_site_fract_x
_atom_site_fract_y
_atom_site_fract_z
_atom_site_occupancy
Hf1 0.000 0.500 0.250 1
Ta1 0.000 0.000 0.000 1
B1 0.000 0.000 0.419 1
```

## Properties
M_tot ... 0.0 μB/f.u.

=====

(b)
VASP calculation (PBE) on a relaxed structure of Hf2TaB2.

```
data_Hf2TaB2
_space_group_name_H-M_alt 'I m m m'
_space_group_IT_number 71
_space_group_name_Hall '-I 2 2'
_cell_length_a 3.381
_cell_length_b 5.176
_cell_length_c 8.145
_cell_angle_alpha 90.00
_cell_angle_beta 90.00
_cell_angle_gamma 90.00
loop_
_atom_site_label
_atom_site_fract_x
_atom_site_fract_y
_atom_site_fract_z
_atom_site_occupancy
Hf1 0.000 0.000 0.200 1
Ta1 0.000 0.500 0.000 1
B1 0.000 0.323 0.500 1
```

## Properties
M_tot ... 0.0 μB/f.u.

=====

Which structure is the most stable? The one labeled (b).